(1)
Compound: V2SbP
Source: Alexandria
Functional: GGA-PBE
Structure: optimized geometry

Summary:
* calculated volume: 15.4 Å³/atom
* DOS at the Fermi energy: 3.40 states/eV per cell
* E_form (uncorrected): 15 meV per atom
* space group: Fm-3m, No. 225

Cell lengths 4.429, 4.429, 4.429 Å; angles 60.00, 60.00, 60.00 degrees
Positions (direct):
V: 0.250 0.250 0.250
V: 0.750 0.750 0.750
Sb: 0.000 0.000 0.000
P: 0.500 0.500 0.500

(2)
Compound: VSb3P
Source: Alexandria
Functional: GGA-PBE
Structure: optimized geometry

Summary:
* energy above the lowest structure with this stoichiometry: 0 meV per atom
* calculated volume: 26.0 Å³/atom
* DOS at the Fermi energy: 3.33 states/eV per cell
* E_form (uncorrected): 607 meV per atom
* space group: Pm-3m, No. 221

Cell lengths 5.068, 5.068, 5.068 Å; angles 90.00, 90.00, 90.00 degrees
Positions (direct):
V: 0.000 0.000 0.000
Sb: 0.000 0.000 0.500
Sb: 0.000 0.500 0.000
Sb: 0.500 0.000 0.000
P: 0.500 0.500 0.500

(3)
Compound: VSb3P
Source: Alexandria
Functional: GGA-PBE
Structure: optimized geometry

Summary:
* energy above the lowest structure with this stoichiometry: 282 meV per atom
* calculated volume: 27.1 Å³/atom
* DOS at the Fermi energy: 5.14 states/eV per cell
* E_form (uncorrected): 888 meV per atom
* space group: Pm-3m, No. 221

Cell lengths 5.135, 5.135, 5.135 Å; angles 90.00, 90.00, 90.00 degrees
Positions (direct):
V: 0.000 0.000 0.000
Sb: 0.000 0.500 0.500
Sb: 0.500 0.000 0.500
Sb: 0.500 0.500 0.000
P: 0.500 0.500 0.500

(4)
Compound: Sb2PW
Source: Alexandria
Functional: GGA-PBE
Structure: optimized geometry

Summary:
* calculated volume: 22.8 Å³/atom
* DOS at the Fermi energy: 3.43 states/eV per cell
* E_form (uncorrected): 357 meV per atom
* space group: Pm, No. 6

Cell lengths 4.770, 4.513, 4.777 Å; angles 90.00, 117.57, 90.00 degrees
Positions (direct):
Sb: 0.000 0.000 0.000
Sb: 0.418 0.500 0.582
P: 0.753 0.500 0.245
W: 0.640 0.000 0.360

(5)
Compound: SbP2W
Source: Alexandria
Functional: GGA-PBE
Structure: optimized geometry

Summary:
* calculated volume: 17.8 Å³/atom
* DOS at the Fermi energy: 2.36 states/eV per cell
* E_form (uncorrected): 381 meV per atom
* space group: R3m, No. 160

Cell lengths 7.742, 7.742, 7.742 Å; angles 24.66, 24.66, 24.66 degrees
Positions (direct):
Sb: 0.000 0.000 0.000
P: 0.249 0.249 0.249
P: 0.497 0.497 0.497
W: 0.763 0.763 0.763

(6)
Compound: SbP2W
Source: Alexandria
Functional: GGA-PBE
Structure: optimized geometry

Summary:
* calculated volume: 18.5 Å³/atom
* DOS at the Fermi energy: 1.73 states/eV per cell
* E_form (uncorrected): 669 meV per atom
* space group: Cmm2, No. 35

Cell lengths 2.917, 2.917, 9.277 Å; angles 90.00, 90.00, 110.52 degrees
Positions (direct):
Sb: 0.000 0.000 0.000
P: 0.000 0.000 0.544
P: 0.500 0.500 0.271
W: 0.500 0.500 0.731

(7)
Compound: Sb2PW
Source: Alexandria
Functional: GGA-PBE
Structure: optimized geometry

Summary:
* calculated volume: 21.6 Å³/atom
* DOS at the Fermi energy: 2.60 states/eV per cell
* E_form (uncorrected): 456 meV per atom
* space group: Cmm2, No. 35

Cell lengths 3.067, 3.067, 9.806 Å; angles 90.00, 90.00, 110.84 degrees
Positions (direct):
Sb: 0.000 0.000 0.000
Sb: 0.500 0.500 0.296
P: 0.500 0.500 0.703
W: 0.000 0.000 0.537

(8)
Compound: SbPW2
Source: Alexandria
Functional: GGA-PBE
Structure: optimized geometry

Summary:
* energy above the lowest structure with this stoichiometry: 58 meV per atom
* calculated volume: 17.7 Å³/atom
* DOS at the Fermi energy: 2.70 states/eV per cell
* E_form (uncorrected): 179 meV per atom
* space group: Imm2, No. 44

Cell lengths 7.041, 7.041, 7.041 Å; angles 154.20, 152.20, 38.29 degrees
Positions (direct):
Sb: 0.000 0.000 0.000
P: 0.252 0.752 0.500
W: 0.623 0.623 0.000
W: 0.815 0.315 0.500

(9)
Compound: Sb4PW
Source: Alexandria
Functional: GGA-PBE
Structure: optimized geometry

Summary:
* calculated volume: 25.8 Å³/atom
* DOS at the Fermi energy: 5.14 states/eV per cell
* E_form (uncorrected): 1373 meV per atom
* space group: F-43m, No. 216

Cell lengths 6.026, 6.026, 6.026 Å; angles 60.00, 60.00, 60.00 degrees
Positions (direct):
Sb: 0.125 0.125 0.125
Sb: 0.125 0.125 0.624
Sb: 0.125 0.624 0.125
Sb: 0.624 0.125 0.125
P: 0.500 0.500 0.500
W: 0.750 0.750 0.750

(10)
Compound: SbP2W
Source: Alexandria
Functional: GGA-PBE
Structure: optimized geometry

Summary:
* calculated volume: 18.6 Å³/atom
* DOS at the Fermi energy: 3.33 states/eV per cell
* E_form (uncorrected): 665 meV per atom
* space group: C2/m, No. 12

Cell lengths 4.591, 4.591, 4.315 Å; angles 108.72, 108.72, 105.48 degrees
Positions (direct):
Sb: 0.000 0.000 0.000
P: 0.000 0.500 0.500
P: 0.500 0.000 0.500
W: 0.500 0.500 0.000

(11)
Compound: Sb2PW
Source: Alexandria
Functional: GGA-PBE
Structure: optimized geometry

Summary:
* calculated volume: 19.9 Å³/atom
* DOS at the Fermi energy: 2.88 states/eV per cell
* E_form (uncorrected): 785 meV per atom
* space group: C2/m, No. 12

Cell lengths 5.038, 5.038, 3.249 Å; angles 98.25, 98.25, 98.67 degrees
Positions (direct):
Sb: 0.000 0.500 0.000
Sb: 0.500 0.000 0.000
P: 0.000 0.000 0.500
W: 0.500 0.500 0.500

(12)
Compound: SbP2W
Source: Alexandria
Functional: GGA-PBE
Structure: optimized geometry

Summary:
* calculated volume: 19.6 Å³/atom
* DOS at the Fermi energy: 2.42 states/eV per cell
* E_form (uncorrected): 533 meV per atom
* space group: Immm, No. 71

Cell lengths 5.642, 5.642, 5.642 Å; angles 149.21, 120.27, 68.70 degrees
Positions (direct):
Sb: 0.000 0.000 0.000
P: 0.297 0.797 0.500
P: 0.703 0.203 0.500
W: 0.500 0.500 0.000

(13)
Compound: Sb2PW
Source: Alexandria
Functional: GGA-PBE
Structure: optimized geometry

Summary:
* calculated volume: 21.2 Å³/atom
* DOS at the Fermi energy: 1.29 states/eV per cell
* E_form (uncorrected): 79 meV per atom
* space group: P4mm, No. 99

Cell lengths 3.240, 3.240, 8.078 Å; angles 90.00, 90.00, 90.00 degrees
Positions (direct):
Sb: 0.000 0.000 0.000
Sb: 0.500 0.500 0.400
P: 0.500 0.500 0.768
W: 0.000 0.000 0.638

(14)
Compound: SbPW2
Source: Alexandria
Functional: GGA-PBE
Structure: optimized geometry

Summary:
* energy above the lowest structure with this stoichiometry: 146 meV per atom
* calculated volume: 16.3 Å³/atom
* DOS at the Fermi energy: 2.20 states/eV per cell
* E_form (uncorrected): 267 meV per atom
* space group: P4/mmm, No. 123

Cell lengths 3.151, 3.151, 6.575 Å; angles 90.00, 90.00, 90.00 degrees
Positions (direct):
Sb: 0.000 0.000 0.000
P: 0.000 0.000 0.500
W: 0.500 0.500 0.295
W: 0.500 0.500 0.705

(15)
Compound: SbPW2
Source: Alexandria
Functional: GGA-PBE
Structure: optimized geometry

Summary:
* energy above the lowest structure with this stoichiometry: 318 meV per atom
* calculated volume: 17.1 Å³/atom
* DOS at the Fermi energy: 2.01 states/eV per cell
* E_form (uncorrected): 439 meV per atom
* space group: P2/m, No. 10

Cell lengths 3.247, 3.524, 6.150 Å; angles 90.00, 103.91, 90.00 degrees
Positions (direct):
Sb: 0.000 0.000 0.000
P: 0.000 0.000 0.500
W: 0.356 0.500 0.721
W: 0.644 0.500 0.279